No. 1
Density functional theory data (PBEsol) for an optimized crystal structure of SrHg3Br.

a = 5.7364 Å, b = 5.7364 Å, c = 5.7364 Å
α = 90.00°, β = 90.00°, γ = 90.00°
Last column: nearest neighbours and their distance in Å.
Space group Pm-3m (No. 221)
Symmetry-distinct sites (fractional):
Sr 0.0000 0.0000 0.0000 [1 per cell]  12 Hg 4.06
Hg 0.0000 0.5000 0.5000 [3 per cell]  2 Br 2.87
Br 0.5000 0.5000 0.5000 [1 per cell]  6 Hg 2.87

Results
E_tot: -0.98 eV per atom
calculated volume: 189 Å³/f.u.

No. 2
Density functional theory data (PBEsol) for an optimized crystal structure of Ta2HgBr.

a = 4.0832 Å, b = 4.0832 Å, c = 4.6408 Å
α = 90.00°, β = 90.00°, γ = 90.00°
Last column: nearest neighbours and their distance in Å.
Space group P4/mmm (No. 123)
Symmetry-distinct sites (fractional):
Ta 0.0000 0.5000 0.0000 [2 per cell]  4 Ta 2.89, 4 Hg 3.09, 4 Br 3.09
Hg 0.0000 0.0000 0.5000 [1 per cell]  4 Br 2.89, 8 Ta 3.09
Br 0.5000 0.5000 0.5000 [1 per cell]  4 Hg 2.89, 8 Ta 3.09

Results
E_tot: -5.99 eV per atom
calculated volume: 77 Å³/f.u.